1.
Entry from Alexandria via LeMat-Bulk: a geometry-optimized KNaAs2 structure (PBE-GGA).

Values from the calculation:
- energy relative to the elements (meV/atom) = -118
- excess energy over the best structure of this formula in the dataset (eV/atom) = 0.259
- N(E_F) (states/eV/f.u.) = 3.30
- theoretical density (kg/m³) = 2887
- VASP energy (eV per atom) = -3.047
- M_tot (μB/atom) = 0.00
- crystal system = tetragonal

Cell lengths 10.6404, 10.6404, 10.6404 Å; angles 153.24, 153.24, 38.20 degrees
Fractional coordinates of all 8 atoms:
K (0.0000, 0.0000, 0.0000)
K (0.7500, 0.2500, 0.5000)
Na (0.2500, 0.7500, 0.5000)
Na (0.5000, 0.5000, 0.0000)
As (0.2702, 0.6250, 0.1452)
As (0.3750, 0.5202, 0.6452)
As (0.4798, 0.1250, 0.8548)
As (0.8750, 0.7298, 0.3548)

=====

2.
Entry from Alexandria via LeMat-Bulk: a geometry-optimized K2NaAs structure (PBE-GGA).

Values from the calculation:
- energy relative to the elements (meV/atom) = -345
- N(E_F) (states/eV/f.u.) = 1.47
- theoretical density (kg/m³) = 1860
- VASP energy (eV per atom) = -2.386
- M_tot (μB/atom) = 0.00
- crystal system = monoclinic

Cell lengths 7.8631, 5.1295, 8.3400 Å; angles 90.00, 110.77, 90.00 degrees
Fractional coordinates of all 8 atoms:
K (0.1081, 0.2500, 0.4023)
K (0.3092, 0.2500, 0.9341)
K (0.6908, 0.7500, 0.0659)
K (0.8919, 0.7500, 0.5977)
Na (0.4571, 0.7500, 0.3640)
Na (0.5429, 0.2500, 0.6360)
As (0.3493, 0.7500, 0.6748)
As (0.6507, 0.2500, 0.3252)

=====

> Which of these has the lowest theoretical density?

K2NaAs

=====

> M_tot of number 2 (K2NaAs)?

0.00 μB/atom